[1]
VASP calculation (PBEsol) on LaRuRh2 after structural relaxation.

```
data_LaRuRh2
_space_group_name_H-M_alt 'P 1'
_space_group_IT_number 1
_space_group_name_Hall 'P 1'
_cell_length_a 2.835
_cell_length_b 3.847
_cell_length_c 6.251
_cell_angle_alpha 90.00
_cell_angle_beta 90.00
_cell_angle_gamma 90.00
loop_
_atom_site_label
_atom_site_type_symbol
_atom_site_fract_x
_atom_site_fract_y
_atom_site_fract_z
Ru1 Ru 0.000 0.000 0.439
Rh1 Rh 0.000 0.000 0.034
Rh2 Rh 0.500 0.500 0.271
La1 La 0.500 0.500 0.756
```

**SG**: Pmm2 (25)
**DFT total energy**: -7.872 eV/atom

---

[2]
VASP calculation (PBEsol) on CoTe2N after structural relaxation.

```
data_CoTe2N
_space_group_name_H-M_alt 'P 1'
_space_group_IT_number 1
_space_group_name_Hall 'P 1'
_cell_length_a 3.852
_cell_length_b 3.852
_cell_length_c 6.639
_cell_angle_alpha 73.14
_cell_angle_beta 73.14
_cell_angle_gamma 60.00
loop_
_atom_site_label
_atom_site_type_symbol
_atom_site_fract_x
_atom_site_fract_y
_atom_site_fract_z
Te1 Te 0.102 0.102 0.694
Te2 Te 0.898 0.898 0.306
Co1 Co 0.500 0.500 0.500
N1 N 0.000 0.000 0.000
```

**SG**: R-3m (166)
**DFT total energy**: -5.317 eV/atom
**Raw formation energy**: 198 kJ/mol of formula units

---

[3]
VASP calculation (PBEsol) on Na2HfInRu after structural relaxation.

```
data_Na2HfInRu
_space_group_name_H-M_alt 'P 1'
_space_group_IT_number 1
_space_group_name_Hall 'P 1'
_cell_length_a 4.520
_cell_length_b 5.824
_cell_length_c 5.824
_cell_angle_alpha 90.00
_cell_angle_beta 90.00
_cell_angle_gamma 90.00
loop_
_atom_site_label
_atom_site_type_symbol
_atom_site_fract_x
_atom_site_fract_y
_atom_site_fract_z
Na1 Na 0.000 0.000 0.500
Na2 Na 0.000 0.500 0.000
Hf1 Hf 0.000 0.000 0.000
In1 In 0.500 0.500 0.500
Ru1 Ru 0.500 0.000 0.000
```

**SG**: P4/mmm (123)
**DFT total energy**: -4.150 eV/atom